# 1
A geometry-optimized La2TaNbF structure, computed with GGA-PBE.

magnetic moment = 1.18 μB/f.u.
E_form (uncorrected) = 0.381 eV per atom
SG = P4/mmm, No. 123

```
La2TaNbF
1.0
5.867 0.000 0.000
0.000 5.867 0.000
0.000 0.000 4.833
La Ta Nb F
2 1 1 1
direct
0.000 0.500 0.000
0.500 0.000 0.000
0.000 0.000 0.000
0.000 0.000 0.500
0.500 0.500 0.500
```

=====

# 2
A geometry-optimized Er3AgIr2 structure, computed with GGA-PBE.

relative energy among the computed polymorphs = 11 meV per atom
magnetic moment = 0.00 μB/f.u.
formation energy from the elements = -0.716 eV/atom
SG = Cmmm, No. 65

```
Er3AgIr2
1.0
2.497 -7.435 0.000
2.497 7.435 0.000
0.000 0.000 3.337
Er Ag Ir
3 1 2
direct
0.000 0.000 0.000
0.325 0.675 0.000
0.675 0.325 0.000
0.500 0.500 0.500
0.163 0.837 0.500
0.837 0.163 0.500
```

=====

# 3
A geometry-optimized La3PmSm2As6 structure, computed with GGA-PBE.

magnetic moment = 0.00 μB/f.u.
formation energy from the elements = -1.549 eV/atom
SG = C2/m, No. 12

```
La3PmSm2As6
1.0
3.723 -6.448 0.000
3.723 6.448 0.000
-2.481 0.000 7.023
La Pm Sm As
3 1 2 6
direct
0.000 0.000 0.000
0.333 0.667 0.000
0.667 0.333 0.000
0.500 0.500 0.500
0.167 0.833 0.500
0.833 0.167 0.500
0.085 0.419 0.257
0.247 0.247 0.743
0.419 0.085 0.257
0.581 0.915 0.743
0.753 0.753 0.257
0.915 0.581 0.743
```

=====

# 4
A geometry-optimized PrDy3Sc structure, computed with GGA-PBE.

relative energy among the computed polymorphs = 0 meV per atom
magnetic moment = 0.00 μB/f.u.
formation energy from the elements = 0.032 eV/atom
SG = P-1, No. 2

```
PrDy3Sc
1.0
6.207 0.000 0.000
0.004 6.660 0.000
3.084 1.814 7.556
Pr Dy Sc
2 6 2
direct
0.219 0.347 0.403
0.781 0.653 0.597
0.018 0.947 0.803
0.392 0.843 0.399
0.413 0.747 0.001
0.587 0.253 0.999
0.608 0.157 0.601
0.982 0.053 0.197
0.176 0.449 0.811
0.824 0.551 0.189
```

=====

# 5
A geometry-optimized ZnFe2Mo structure, computed with GGA-PBE.

magnetic moment = 4.32 μB/f.u.
formation energy from the elements = 0.141 eV/atom
SG = P2/m, No. 10

```
ZnFe2Mo
1.0
2.553 0.000 0.000
0.000 4.227 0.000
-0.744 0.000 4.933
Zn Fe Mo
1 2 1
direct
0.000 0.000 0.000
0.243 0.500 0.747
0.757 0.500 0.253
0.500 0.000 0.500
```

=====

# 6
A geometry-optimized Li6Tl2Cu structure, computed with GGA-PBE.

relative energy among the computed polymorphs = 0 meV per atom
magnetic moment = 0.00 μB/f.u.
formation energy from the elements = -0.115 eV/atom
SG = Amm2, No. 38

```
Li6Tl2Cu
1.0
3.306 0.000 0.000
0.000 6.685 3.864
0.000 -6.685 3.864
Li Tl Cu
6 2 1
direct
0.000 0.000 0.000
0.000 0.479 0.740
0.000 0.740 0.479
0.500 0.117 0.740
0.500 0.363 0.363
0.500 0.740 0.117
0.000 0.073 0.406
0.000 0.406 0.073
0.500 0.739 0.739
```

=====

# 7
A geometry-optimized SrTmZnPb structure, computed with GGA-PBE.

magnetic moment = 0.00 μB/f.u.
formation energy from the elements = -0.284 eV/atom
SG = F-43m, No. 216

```
SrTmZnPb
1.0
0.000 3.838 3.838
3.838 0.000 3.838
3.838 3.838 0.000
Sr Tm Zn Pb
1 1 1 1
direct
0.000 0.000 0.000
0.500 0.500 0.500
0.250 0.250 0.250
0.750 0.750 0.750
```

=====

# 8
A geometry-optimized Mg2UTl3S6 structure, computed with GGA-PBE.

magnetic moment = 1.00 μB/f.u.
E_form (uncorrected) = -1.005 eV per atom
SG = C2/m, No. 12

```
Mg2UTl3S6
1.0
3.342 -5.791 0.000
3.342 5.791 0.000
-2.216 0.000 7.536
Mg U Tl S
2 1 3 6
direct
0.166 0.834 0.000
0.834 0.166 0.000
0.500 0.500 0.000
0.000 0.000 0.500
0.332 0.668 0.500
0.668 0.332 0.500
0.107 0.436 0.809
0.235 0.235 0.193
0.436 0.107 0.809
0.564 0.893 0.191
0.765 0.765 0.807
0.893 0.564 0.191
```

=====

# 9
A geometry-optimized Sr4MoW structure, computed with GGA-PBE.

magnetic moment = 9.38 μB/f.u.
formation energy from the elements = 1.841 eV/atom
SG = F-43m, No. 216

```
Sr4MoW
1.0
0.000 4.797 4.797
4.797 0.000 4.797
4.797 4.797 0.000
Sr Mo W
4 1 1
direct
0.125 0.125 0.125
0.125 0.125 0.626
0.125 0.626 0.125
0.626 0.125 0.125
0.500 0.500 0.500
0.750 0.750 0.750
```

=====

# 10
A geometry-optimized In2SnAuBr structure, computed with GGA-PBE.

magnetic moment = 0.00 μB/f.u.
E_form (uncorrected) = 0.197 eV per atom
SG = P4/mmm, No. 123

```
In2SnAuBr
1.0
5.189 0.000 0.000
0.000 5.189 0.000
0.000 0.000 6.250
In Sn Au Br
2 1 1 1
direct
0.000 0.500 0.000
0.500 0.000 0.000
0.000 0.000 0.500
0.500 0.500 0.000
0.500 0.500 0.500
```

=====

# 11
A geometry-optimized NaFeRu2 structure, computed with GGA-PBE.

magnetic moment = 1.09 μB/f.u.
formation energy from the elements = 0.940 eV/atom
SG = I-42d, No. 122

```
NaFeRu2
1.0
-3.542 3.542 2.556
3.542 -3.542 2.556
3.542 3.542 -2.556
Na Fe Ru
2 2 4
direct
0.000 0.000 0.000
0.750 0.250 0.500
0.250 0.750 0.500
0.500 0.500 0.000
0.188 0.125 0.563
0.375 0.812 0.937
0.562 0.625 0.437
0.875 0.438 0.063
```

=====

# 12
A geometry-optimized KYAuO2 structure, computed with GGA-PBE.

magnetic moment = 0.00 μB/f.u.
E_form (uncorrected) = -1.678 eV per atom
SG = P2/c, No. 13

```
KYAuO2
1.0
6.680 0.000 0.000
0.000 5.470 0.000
-0.588 0.000 6.469
K Y Au O
2 2 2 4
direct
0.000 0.202 0.250
0.000 0.798 0.750
0.500 0.018 0.750
0.500 0.982 0.250
0.500 0.500 0.000
0.500 0.500 0.500
0.294 0.109 0.989
0.294 0.891 0.489
0.706 0.109 0.511
0.706 0.891 0.011
```

=====

# 13
A geometry-optimized H5Rh12Au3 structure, computed with GGA-PBE.

magnetic moment = 6.31 μB/f.u.
SG = Ia-3d, No. 230

```
H5Rh12Au3
1.0
-6.375 6.375 6.375
6.375 -6.375 6.375
6.375 6.375 -6.375
H Rh Au
20 48 12
direct
0.000 0.000 0.000
0.000 0.000 0.500
0.000 0.500 0.000
0.000 0.500 0.500
0.125 0.750 0.875
0.125 0.875 0.250
0.250 0.125 0.875
0.250 0.625 0.375
0.375 0.250 0.625
0.375 0.625 0.750
0.500 0.000 0.000
0.500 0.000 0.500
0.500 0.500 0.000
0.500 0.500 0.500
0.625 0.375 0.250
0.625 0.750 0.375
0.750 0.375 0.625
0.750 0.875 0.125
0.875 0.125 0.750
0.875 0.250 0.125
0.004 0.692 0.094
0.004 0.812 0.910
0.090 0.594 0.902
0.090 0.996 0.188
0.094 0.004 0.692
0.094 0.590 0.402
0.098 0.688 0.692
0.098 0.910 0.406
0.188 0.090 0.996
0.188 0.598 0.192
0.192 0.188 0.598
0.192 0.504 0.594
0.308 0.902 0.312
0.308 0.906 0.996
0.312 0.308 0.902
0.312 0.504 0.410
0.402 0.094 0.590
0.402 0.808 0.812
0.406 0.098 0.910
0.406 0.808 0.496
0.410 0.312 0.504
0.410 0.598 0.906
0.496 0.406 0.808
0.496 0.590 0.688
0.504 0.410 0.312
0.504 0.594 0.192
0.590 0.402 0.094
0.590 0.688 0.496
0.594 0.192 0.504
0.594 0.902 0.090
0.598 0.192 0.188
0.598 0.906 0.410
0.688 0.496 0.590
0.688 0.692 0.098
0.692 0.094 0.004
0.692 0.098 0.688
0.808 0.496 0.406
0.808 0.812 0.402
0.812 0.402 0.808
0.812 0.910 0.004
0.902 0.090 0.594
0.902 0.312 0.308
0.906 0.410 0.598
0.906 0.996 0.308
0.910 0.004 0.812
0.910 0.406 0.098
0.996 0.188 0.090
0.996 0.308 0.906
0.125 0.250 0.375
0.125 0.375 0.750
0.250 0.375 0.125
0.250 0.875 0.625
0.375 0.125 0.250
0.375 0.750 0.125
0.625 0.250 0.875
0.625 0.875 0.750
0.750 0.125 0.375
0.750 0.625 0.875
0.875 0.625 0.250
0.875 0.750 0.625
```

=====

# 14
A geometry-optimized Sb3Pb7 structure, computed with GGA-PBE.

magnetic moment = 0.00 μB/f.u.
E_form (uncorrected) = 0.047 eV per atom
SG = P6_3mc, No. 186

```
Sb3Pb7
1.0
10.564 0.000 0.000
-5.282 9.149 0.000
0.000 0.000 6.711
Sb Pb
6 14
direct
0.201 0.401 0.000
0.201 0.799 0.000
0.401 0.201 0.500
0.599 0.799 0.000
0.799 0.201 0.500
0.799 0.599 0.500
0.068 0.534 0.324
0.111 0.223 0.585
0.111 0.889 0.585
0.223 0.111 0.085
0.333 0.667 0.692
0.466 0.534 0.324
0.466 0.932 0.324
0.534 0.068 0.824
0.534 0.466 0.824
0.667 0.333 0.192
0.777 0.889 0.585
0.889 0.111 0.085
0.889 0.777 0.085
0.932 0.466 0.824
```

=====

# 15
A geometry-optimized Ce2TmP3 structure, computed with GGA-PBE.

magnetic moment = 1.11 μB/f.u.
formation energy from the elements = -1.519 eV/atom
SG = I4/mmm, No. 139

```
Ce2TmP3
1.0
-2.024 2.024 8.563
2.024 -2.024 8.563
2.024 2.024 -8.563
Ce Tm P
2 1 3
direct
0.166 0.166 0.000
0.834 0.834 0.000
0.500 0.500 0.000
0.000 0.000 0.000
0.336 0.336 0.000
0.664 0.664 0.000
```

=====

# 16
A geometry-optimized Ba2CrCo structure, computed with GGA-PBE.

relative energy among the computed polymorphs = 461 meV per atom
magnetic moment = 5.74 μB/f.u.
formation energy from the elements = 0.908 eV/atom
SG = I-4m2, No. 119

```
Ba2CrCo
1.0
-2.401 2.401 5.296
2.401 -2.401 5.296
2.401 2.401 -5.296
Ba Cr Co
2 1 1
direct
0.000 0.000 0.000
0.750 0.250 0.500
0.500 0.500 0.000
0.250 0.750 0.500
```

=====

# 17
A geometry-optimized LiPaMnSi structure, computed with GGA-PBE.

magnetic moment = 0.97 μB/f.u.
E_form (uncorrected) = -0.145 eV per atom
SG = F-43m, No. 216

```
LiPaMnSi
1.0
0.000 3.128 3.128
3.128 0.000 3.128
3.128 3.128 0.000
Li Pa Mn Si
1 1 1 1
direct
0.000 0.000 0.000
0.750 0.750 0.750
0.500 0.500 0.500
0.250 0.250 0.250
```

=====

# 18
A geometry-optimized KBPd2 structure, computed with GGA-PBE.

magnetic moment = 0.00 μB/f.u.
formation energy from the elements = -0.020 eV/atom
SG = R-3m, No. 166

```
KBPd2
1.0
1.701 0.982 7.472
-1.701 0.982 7.472
0.000 -1.964 7.472
K B Pd
1 1 2
direct
0.000 0.000 0.000
0.500 0.500 0.500
0.210 0.210 0.210
0.790 0.790 0.790
```

=====

# 19
A geometry-optimized Zn2CoSiHg structure, computed with GGA-PBE.

magnetic moment = 1.58 μB/f.u.
E_form (uncorrected) = 1.172 eV per atom
SG = P4/mmm, No. 123

```
Zn2CoSiHg
1.0
4.854 0.000 0.000
0.000 4.854 0.000
0.000 0.000 4.922
Zn Co Si Hg
2 1 1 1
direct
0.000 0.500 0.000
0.500 0.000 0.000
0.000 0.000 0.500
0.500 0.500 0.500
0.000 0.000 0.000
```

=====

# 20
A geometry-optimized Tb3Ag3GeO8 structure, computed with GGA-PBE.

magnetic moment = 0.00 μB/f.u.
E_form (uncorrected) = -1.962 eV per atom
SG = C2/m, No. 12

```
Tb3Ag3GeO8
1.0
5.885 -3.399 0.000
5.885 3.399 0.000
-3.936 0.000 5.643
Tb Ag Ge O
3 3 1 8
direct
0.000 0.000 0.000
0.000 0.500 0.000
0.500 0.000 0.000
0.000 0.500 0.500
0.500 0.000 0.500
0.500 0.500 0.500
0.500 0.500 0.000
0.228 0.228 0.183
0.275 0.706 0.186
0.294 0.294 0.814
0.294 0.725 0.814
0.706 0.275 0.186
0.706 0.706 0.186
0.725 0.294 0.814
0.772 0.772 0.817
```

=====

# 21
A geometry-optimized KLiHg2 structure, computed with GGA-PBE.

relative energy among the computed polymorphs = 131 meV per atom
magnetic moment = 0.00 μB/f.u.
formation energy from the elements = -0.135 eV/atom
SG = I-42d, No. 122

```
KLiHg2
1.0
-2.816 2.816 9.337
2.816 -2.816 9.337
2.816 2.816 -9.337
K Li Hg
2 2 4
direct
0.000 0.000 0.000
0.750 0.250 0.500
0.250 0.750 0.500
0.500 0.500 0.000
0.300 0.625 0.175
0.375 0.550 0.675
0.450 0.125 0.825
0.875 0.700 0.325
```

=====

| no. | uncorrected energy (eV/atom) |
| --- | --- |
| 1 | -6.348 |
| 2 | -6.427 |
| 3 | -6.288 |
| 4 | -4.952 |
| 5 | -7.117 |
| 6 | -2.372 |
| 7 | -3.068 |
| 8 | -4.867 |
| 9 | -3.245 |
| 10 | -2.688 |
| 11 | -6.144 |
| 12 | -5.829 |
| 13 | -5.412 |
| 14 | -3.786 |
| 15 | -6.947 |
| 16 | -4.236 |
| 17 | -6.646 |
| 18 | -4.561 |
| 19 | -1.904 |
| 20 | -6.411 |
| 21 | -1.039 |